# 1
VASP calculation (PBE) on a relaxed structure of ThPaCN.

abc: 4.1150 4.1150 8.9754
angles: 90.00 90.00 90.00
Fractional positions:
Th 0.5000 0.0000 0.6261
Th 0.0000 0.5000 0.3739
Pa 0.5000 0.5000 0.0000
Pa 0.0000 0.0000 0.0000
C 0.0000 0.5000 0.8524
C 0.5000 0.0000 0.1476
N 0.0000 0.0000 0.5000
N 0.5000 0.5000 0.5000

Values from the calculation:
Magnetization ... 0.00 μB/atom
Raw total energy ... -9.192 eV/atom



# 2
VASP calculation (PBE) on a relaxed structure of Nd4Te3Pt.

abc: 4.3403 7.7975 7.7975
angles: 108.68 90.00 90.00
Fractional positions:
Te 0.0000 0.0000 0.5000
Te 0.5000 0.5000 0.5000
Te 0.0000 0.5000 0.0000
Nd 0.0000 0.2175 0.2175
Nd 0.5000 0.7589 0.2411
Nd 0.0000 0.7825 0.7825
Nd 0.5000 0.2411 0.7589
Pt 0.5000 0.0000 0.0000

Values from the calculation:
Magnetization ... 0.00 μB/atom
Polymorph energy (0 for the lowest one) ... 0.0 meV per atom